First-principles (PBE-GGA) data for an optimized crystal structure of TmHIBr, as listed in OQMD.

Magnetic moment   0.00 μB/f.u.

Cell and atoms, written as POSCAR:
```
TmHIBr
1.0
3.860 0.000 0.000
-1.930 3.343 0.000
0.000 0.000 15.823
Tm H I Br
2 2 2 2
direct
0.000 0.000 0.000
0.000 0.000 0.500
0.333 0.667 0.002
0.667 0.333 0.502
0.333 0.667 0.634
0.667 0.333 0.134
0.333 0.667 0.382
0.667 0.333 0.882
```

***

First-principles (PBE-GGA) data for an optimized crystal structure of SrZrAs, as listed in OQMD.

Magnetic moment   3.00 μB/f.u.

Cell and atoms, written as POSCAR:
```
SrZrAs
1.0
0.000 3.603 3.603
3.603 0.000 3.603
3.603 3.603 0.000
Sr Zr As
1 1 1
direct
0.000 0.000 0.000
0.250 0.250 0.250
0.750 0.750 0.750
```

***

First-principles (PBE-GGA) data for an optimized crystal structure of Li3Ag, as listed in OQMD.

Energy relative to the lowest polymorph listed for this composition   11 meV/atom

Cell and atoms, written as POSCAR:
```
Li3Ag
1.0
4.447 0.000 0.000
0.000 4.447 0.000
0.000 0.000 6.289
Li Ag
6 2
direct
0.000 0.000 0.000
0.000 0.500 0.249
0.000 0.500 0.751
0.500 0.000 0.249
0.500 0.000 0.751
0.500 0.500 0.500
0.000 0.000 0.500
0.500 0.500 0.000
```

***

First-principles (PBE-GGA) data for an optimized crystal structure of NaPaS, as listed in OQMD.

Magnetic moment   1.73 μB/f.u.

Cell and atoms, written as POSCAR:
```
NaPaS
1.0
4.858 0.000 0.000
-2.429 4.207 0.000
0.000 0.000 9.189
Na Pa S
3 3 3
direct
0.000 0.000 0.000
0.333 0.667 0.322
0.333 0.667 0.678
0.667 0.333 0.160
0.667 0.333 0.500
0.667 0.333 0.840
0.000 0.000 0.295
0.000 0.000 0.705
0.333 0.667 0.000
```

***

First-principles (PBE-GGA) data for an optimized crystal structure of Sr2CuAs4Pd, as listed in OQMD.

Cell and atoms, written as POSCAR:
```
Sr2CuAs4Pd
1.0
4.659 0.000 0.000
0.000 2.235 8.463
0.000 -2.235 8.463
Sr Cu As Pd
2 1 4 1
direct
0.000 0.000 0.000
0.500 0.212 0.212
0.500 0.426 0.426
0.000 0.362 0.362
0.000 0.639 0.639
0.500 0.571 0.571
0.500 0.856 0.856
0.000 0.789 0.789
```

***

First-principles (PBE-GGA) data for an optimized crystal structure of LiZrAuSe2S, as listed in OQMD.

Magnetic moment   0.01 μB/f.u.

Cell and atoms, written as POSCAR:
```
LiZrAuSe2S
1.0
1.903 -6.539 0.000
1.903 6.539 0.000
0.000 0.000 10.180
Li Zr Au Se S
2 2 2 4 2
direct
0.245 0.755 0.750
0.755 0.245 0.250
0.500 0.500 0.000
0.500 0.500 0.500
0.047 0.953 0.250
0.953 0.047 0.750
0.147 0.853 0.038
0.147 0.853 0.462
0.853 0.147 0.538
0.853 0.147 0.962
0.413 0.587 0.250
0.587 0.413 0.750
```

***

no.,DFT total energy (eV/atom)
1,-4.08
2,-4.23
3,-2.29
4,-5.12
5,-4.57
6,-5.03